Computed, not measured: an optimized crystal structure of LaTh3Pt4 at the PBE-GGA level of DFT.

Unit cell a=7.273 b=8.532 c=7.240 alpha=90.00 beta=109.82 gamma=90.00
Atoms (fractional coordinates):
La: 0.000 0.125 0.250
La: 0.000 0.875 0.750
Th: 0.000 0.376 0.750
Th: 0.000 0.624 0.250
Th: 0.500 0.126 0.750
Th: 0.500 0.376 0.250
Th: 0.500 0.624 0.750
Th: 0.500 0.874 0.250
Pt: 0.252 0.379 0.504
Pt: 0.252 0.621 0.004
Pt: 0.258 0.129 0.999
Pt: 0.258 0.871 0.499
Pt: 0.742 0.129 0.501
Pt: 0.742 0.871 0.001
Pt: 0.748 0.379 0.996
Pt: 0.748 0.621 0.496

Summary:
Energy = -7.62 eV per atom
Total magnetization = 0.00 μB per formula unit
Space-group type = P2/c
Calculated density = 12.69 Mg/m³



Computed, not measured: an optimized crystal structure of La4ThPt5 at the PBE-GGA level of DFT.

Unit cell a=7.348 b=7.348 c=7.348 alpha=99.59 beta=99.59 gamma=131.83
Atoms (fractional coordinates):
La: 0.100 0.701 0.801
La: 0.299 0.100 0.399
La: 0.701 0.900 0.601
La: 0.900 0.299 0.199
Th: 0.500 0.500 0.000
Pt: 0.000 0.000 0.000
Pt: 0.207 0.403 0.611
Pt: 0.403 0.793 0.196
Pt: 0.597 0.207 0.804
Pt: 0.793 0.597 0.389

Summary:
Energy = -6.92 eV per atom
Total magnetization = 0.00 μB per formula unit
Space-group type = I4/m
Calculated density = 10.85 Mg/m³



Computed, not measured: an optimized crystal structure of La2ThPt at the PBE-GGA level of DFT.

Unit cell a=3.703 b=3.703 c=8.426 alpha=90.00 beta=90.00 gamma=90.00
Atoms (fractional coordinates):
La: 0.000 0.000 0.208
La: 0.000 0.000 0.792
Th: 0.500 0.500 0.500
Pt: 0.500 0.500 0.000

Summary:
Energy above the lowest structure with this stoichiometry = 0.0 meV per atom
Total magnetization = 0.00 μB per formula unit
Space-group type = P4/mmm
Calculated density = 10.13 Mg/m³



Computed, not measured: an optimized crystal structure of LaThPt10 at the PBE-GGA level of DFT.

Unit cell a=4.448 b=5.443 c=9.381 alpha=90.00 beta=90.00 gamma=90.00
Atoms (fractional coordinates):
La: 0.000 0.000 0.000
Th: 0.000 0.500 0.500
Pt: 0.000 0.000 0.335
Pt: 0.000 0.000 0.665
Pt: 0.000 0.500 0.170
Pt: 0.000 0.500 0.830
Pt: 0.500 0.000 0.500
Pt: 0.500 0.253 0.254
Pt: 0.500 0.253 0.746
Pt: 0.500 0.500 0.000
Pt: 0.500 0.747 0.254
Pt: 0.500 0.747 0.746

Summary:
Energy = -6.86 eV per atom
Total magnetization = 0.00 μB per formula unit
Space-group type = Pmmm
Calculated density = 16.97 Mg/m³



Computed, not measured: an optimized crystal structure of LaThZnPt at the PBE-GGA level of DFT.

Unit cell a=5.192 b=5.192 c=5.192 alpha=60.00 beta=60.00 gamma=60.00
Atoms (fractional coordinates):
La: 0.000 0.000 0.000
Th: 0.500 0.500 0.500
Zn: 0.750 0.750 0.750
Pt: 0.250 0.250 0.250

Summary:
Energy = -5.51 eV per atom
Total magnetization = 0.00 μB per formula unit
Space-group type = F-43m
Calculated density = 10.60 Mg/m³



Computed, not measured: an optimized crystal structure of LaTiPt at the PBE-GGA level of DFT.

Unit cell a=7.209 b=7.134 c=4.813 alpha=71.24 beta=69.55 gamma=39.21
Atoms (fractional coordinates):
La: 0.223 0.777 0.223
La: 0.777 0.223 0.777
Ti: 0.250 0.250 0.250
Ti: 0.750 0.750 0.750
Pt: 0.331 0.331 0.669
Pt: 0.669 0.669 0.331

Summary:
Energy = -6.73 eV per atom
Total magnetization = 0.00 μB per formula unit
Space-group type = Fmmm
Calculated density = 8.68 Mg/m³



Computed, not measured: an optimized crystal structure of LaTiPt3 at the PBE-GGA level of DFT.

Unit cell a=5.190 b=5.190 c=5.190 alpha=90.00 beta=90.00 gamma=90.00
Atoms (fractional coordinates):
La: 0.000 0.000 0.000
Ti: 0.500 0.500 0.500
Pt: 0.000 0.000 0.500
Pt: 0.000 0.500 0.000
Pt: 0.500 0.000 0.000

Summary:
Energy above the lowest structure with this stoichiometry = 1473.8 meV per atom
Total magnetization = 1.50 μB per formula unit
Space-group type = Pm-3m
Calculated density = 9.17 Mg/m³



Computed, not measured: an optimized crystal structure of LaTiPt3 at the PBE-GGA level of DFT.

Unit cell a=4.808 b=4.808 c=4.808 alpha=90.00 beta=90.00 gamma=90.00
Atoms (fractional coordinates):
La: 0.000 0.000 0.000
Ti: 0.500 0.500 0.500
Pt: 0.000 0.500 0.500
Pt: 0.500 0.000 0.500
Pt: 0.500 0.500 0.000

Summary:
Energy above the lowest structure with this stoichiometry = 0.0 meV per atom
Total magnetization = 0.00 μB per formula unit
Space-group type = Pm-3m
Calculated density = 11.53 Mg/m³



Question: total magnetization of number 4 (LaThPt10)?
Answer: 0.00 μB per formula unit



Question: What is the total magnetization in the eighth record?
Answer: 0.00 μB per formula unit



Question: The highest calculated density belongs to which entry?
Answer: LaThPt10